Entry 1:
Hg4IrBr (meta-GGA SCAN, PBEsol geometry); ΔE_f (raw) = 5.18 eV per formula unit
1.0
0.0000 4.0103 4.0103
4.0103 0.0000 4.0103
4.0103 4.0103 0.0000
Hg Ir Br
4 1 1
Cartesian
0.9992 0.9992 0.9992 Hg
3.0112 3.0112 0.9992 Hg
3.0112 0.9992 3.0112 Hg
0.9992 3.0112 3.0112 Hg
6.0155 6.0155 6.0155 Ir
4.0103 4.0103 4.0103 Br

---

Entry 2:
TaPIrO2 (meta-GGA SCAN, PBEsol geometry); ΔE_f (raw) = 0.39 eV per formula unit
1.0
3.6046 0.0000 0.0000
0.0000 3.6046 0.0000
0.0000 0.0000 7.5074
Ta P Ir O
1 1 1 2
Cartesian
0.0000 0.0000 0.0000 Ta
1.8023 1.8023 0.0000 P
1.8023 1.8023 3.7537 Ir
0.0000 1.8023 3.7537 O
1.8023 0.0000 3.7537 O

---

Entry 3:
Cr2TeIr2 (meta-GGA SCAN, PBEsol geometry); ΔE_f (raw) = 1.61 eV per formula unit
1.0
3.3961 0.0000 0.0000
0.0000 3.3961 0.0000
0.0000 0.0000 13.2610
Cr Te Ir
4 2 4
Cartesian
0.0000 1.6980 3.3153 Cr
0.0000 1.6980 9.9458 Cr
1.6980 0.0000 3.3153 Cr
1.6980 0.0000 9.9458 Cr
0.0000 0.0000 0.0000 Te
1.6980 1.6980 6.6305 Te
0.0000 0.0000 5.1958 Ir
0.0000 0.0000 8.0652 Ir
1.6980 1.6980 1.4347 Ir
1.6980 1.6980 11.8264 Ir

---

Entry 4:
Ta3IrBr (meta-GGA SCAN, PBEsol geometry); ΔE_f (raw) = 8.64 eV per formula unit
1.0
4.5798 0.0000 0.0000
0.0000 4.5798 0.0000
0.0000 0.0000 4.5798
Ta Ir Br
3 1 1
Cartesian
0.0000 0.0000 2.2899 Ta
0.0000 2.2899 0.0000 Ta
2.2899 0.0000 0.0000 Ta
2.2899 2.2899 2.2899 Ir
0.0000 0.0000 0.0000 Br

---

Entry 5:
Y10Cd3Pd (meta-GGA SCAN, PBEsol geometry); E_form = -0.4054 eV per atom
1.0
9.5568 0.0000 0.0000
-4.7784 8.2765 0.0000
0.0000 0.0000 9.6571
Y Cd Pd
20 6 2
Cartesian
0.0000 0.0000 0.0000 Y
0.0000 0.0000 4.8285 Y
-1.7633 4.4996 2.4143 Y
0.0000 3.4333 5.3931 Y
0.0000 3.4333 9.0925 Y
-1.8051 6.5598 5.3931 Y
-1.8051 6.5598 9.0925 Y
2.9733 1.7166 0.5646 Y
2.9733 1.7166 4.2639 Y
1.7633 4.4996 2.4143 Y
0.0000 7.5538 2.4143 Y
4.7784 0.7227 7.2428 Y
3.0151 3.7769 7.2428 Y
1.8051 6.5598 5.3931 Y
1.8051 6.5598 9.0925 Y
6.5835 1.7166 0.5646 Y
6.5835 1.7166 4.2639 Y
4.7784 4.8432 0.5646 Y
4.7784 4.8432 4.2639 Y
6.5417 3.7769 7.2428 Y
0.0000 1.8978 2.4143 Cd
-3.1349 7.3276 2.4143 Cd
1.6436 0.9489 7.2428 Cd
3.1349 7.3276 2.4143 Cd
7.9133 0.9489 7.2428 Cd
4.7784 6.3787 7.2428 Cd
0.0000 5.5176 7.2428 Pd
4.7784 2.7588 2.4143 Pd

---

Entry 6:
InCo2Mo (meta-GGA SCAN, PBEsol geometry); E_form = 0.2837 eV per atom
1.0
2.7688 0.0000 0.0000
0.0000 2.7688 0.0000
0.0000 0.0000 7.0210
In Co Mo
1 2 1
Cartesian
0.0000 0.0000 0.0000 In
1.3844 1.3844 1.8583 Co
1.3844 1.3844 5.1627 Co
0.0000 0.0000 3.5105 Mo

---

Entry 7:
Mn2Cd3O5 (meta-GGA SCAN, PBEsol geometry); ΔE_f (raw) = -14.82 eV per formula unit
1.0
5.0787 -2.3143 0.0000
5.0787 2.3143 0.0000
-5.0533 0.0000 5.1673
Mn Cd O
2 3 5
Cartesian
1.5444 0.0000 0.5108 Mn
3.5596 0.0000 4.6564 Mn
-2.5267 0.0000 2.5836 Cd
0.4815 0.0000 3.6282 Cd
4.6225 0.0000 1.5391 Cd
-0.3710 0.0000 1.3862 O
-1.6544 0.0000 4.7106 O
2.5520 0.0000 2.5836 O
6.7585 0.0000 0.4567 O
5.4750 0.0000 3.7811 O

---

Entry 8:
AlSi2W (meta-GGA SCAN, PBEsol geometry); ΔE_f (raw) = 1.28 eV per formula unit
1.0
2.7999 0.0000 0.0000
0.0000 2.7999 0.0000
0.0000 0.0000 7.4619
Al Si W
1 2 1
Cartesian
0.0000 0.0000 0.0000 Al
1.3999 1.3999 1.9613 Si
1.3999 1.3999 5.5006 Si
0.0000 0.0000 3.7309 W

---

Entry 9:
La2ScFe (meta-GGA SCAN, PBEsol geometry); E_form = 0.1947 eV per atom
1.0
3.4243 0.0000 0.0000
0.0000 5.3275 0.0000
0.0000 0.0000 10.8205
La Sc Fe
4 2 2
Cartesian
0.0000 0.0000 0.0000 La
0.0000 2.6637 2.0151 La
1.7122 0.0000 7.4254 La
1.7122 2.6637 5.4103 La
0.0000 2.6637 8.8336 Sc
1.7122 0.0000 3.4234 Sc
0.0000 0.0000 5.2692 Fe
1.7122 2.6637 10.6795 Fe

---

Entry 10:
Tm2ZnPt (meta-GGA SCAN, PBEsol geometry); E_form = -1.0211 eV per atom
1.0
6.8425 0.0000 0.0000
0.0000 6.8425 0.0000
0.0000 0.0000 6.8425
Tm Zn Pt
8 4 4
Cartesian
1.7106 1.7106 1.7106 Tm
1.7106 1.7106 5.1319 Tm
1.7106 5.1319 1.7106 Tm
1.7106 5.1319 5.1319 Tm
5.1319 1.7106 1.7106 Tm
5.1319 1.7106 5.1319 Tm
5.1319 5.1319 1.7106 Tm
5.1319 5.1319 5.1319 Tm
0.0000 0.0000 0.0000 Zn
0.0000 3.4213 3.4213 Zn
3.4213 0.0000 3.4213 Zn
3.4213 3.4213 0.0000 Zn
0.0000 0.0000 3.4213 Pt
0.0000 3.4213 0.0000 Pt
3.4213 0.0000 0.0000 Pt
3.4213 3.4213 3.4213 Pt

---

Entry 11:
NaGa2Au4 (meta-GGA SCAN, PBEsol geometry); E_form = -0.3618 eV per atom
1.0
8.2297 0.0000 0.0000
0.0000 7.3560 0.0000
-4.0907 0.0000 8.2480
Na Ga Au
4 8 16
Cartesian
1.0189 0.3259 1.4510 Na
-1.0264 3.3521 5.5750 Na
5.1654 4.0039 2.6730 Na
3.1201 7.0301 6.7970 Na
-1.5615 0.9666 3.2108 Ga
-3.6069 2.7114 7.3348 Ga
1.5884 4.9406 4.8459 Ga
3.6338 6.0935 0.7219 Ga
0.5052 1.2626 7.5261 Ga
2.5506 2.4155 3.4021 Ga
7.7459 4.6446 0.9132 Ga
5.7005 6.3894 5.0372 Ga
-2.5674 5.2847 7.6145 Au
-0.5220 5.7494 3.4905 Au
-2.0323 0.7450 6.9565 Au
0.0130 2.9330 2.8325 Au
0.8239 0.7510 4.4524 Au
2.8693 2.9270 0.3284 Au
1.9969 4.7771 2.1965 Au
-0.0485 6.2570 6.3205 Au
4.1875 1.0991 1.9275 Au
2.1421 2.5790 6.0515 Au
1.2697 4.4290 7.9196 Au
3.3150 6.6050 3.7956 Au
4.1260 4.4230 5.4155 Au
6.1713 6.6110 1.2915 Au
4.6610 1.6067 4.7575 Au
6.7064 2.0714 0.6335 Au

---

Entry 12:
CuPdO2 (meta-GGA SCAN, PBEsol geometry); ΔE_f (raw) = -3.01 eV per formula unit
1.0
5.2111 0.0000 0.0000
0.0000 4.1626 0.0000
0.0000 0.0000 4.1985
Cu Pd O
2 2 4
Cartesian
0.0000 0.0000 0.0000 Cu
2.6055 0.0000 2.0992 Cu
0.0000 2.0813 2.0992 Pd
2.6055 2.0813 0.0000 Pd
1.3028 0.9708 1.0496 O
1.3028 3.1918 3.1488 O
3.9083 0.9708 1.0496 O
3.9083 3.1918 3.1488 O

---

Entry 13:
GaTcTe2 (meta-GGA SCAN, PBEsol geometry); ΔE_f (raw) = 2.76 eV per formula unit
1.0
3.0739 0.0000 0.0000
-1.5370 2.6621 0.0000
0.0000 0.0000 32.3939
Ga Tc Te
3 3 6
Cartesian
0.0000 0.0000 0.0000 Ga
0.0000 1.7747 21.5960 Ga
1.5370 0.8874 10.7980 Ga
0.0000 0.0000 16.1970 Tc
0.0000 1.7747 5.3990 Tc
1.5370 0.8874 26.9949 Tc
0.0000 0.0000 13.6216 Te
0.0000 0.0000 18.7723 Te
0.0000 1.7747 2.8236 Te
0.0000 1.7747 7.9743 Te
1.5370 0.8874 24.4196 Te
1.5370 0.8874 29.5703 Te

---

Entry 14:
BaBeRe2 (meta-GGA SCAN, PBEsol geometry); E_form = 0.8193 eV per atom
1.0
3.8165 0.0000 0.0000
0.0000 4.1853 0.0000
-1.4141 0.0000 5.4380
Ba Be Re
1 1 2
Cartesian
0.0000 0.0000 0.0000 Ba
1.2012 0.0000 2.7190 Be
0.2612 2.0927 3.4157 Re
2.1412 2.0927 2.0223 Re

---

Entry 15:
Li2TaCo (meta-GGA SCAN, PBEsol geometry); E_form = 0.2270 eV per atom; energy above the lowest structure with this stoichiometry = 0 meV per atom
1.0
3.0540 0.0000 0.0000
0.0000 3.0540 0.0000
0.0000 0.0000 6.6454
Li Ta Co
2 1 1
Cartesian
0.0000 0.0000 0.0000 Li
1.5270 1.5270 1.7703 Li
0.0000 0.0000 3.8567 Ta
1.5270 1.5270 4.9478 Co

---

Entry 16:
RbCrCl3 (meta-GGA SCAN, PBEsol geometry); ΔE_f (raw) = -8.71 eV per formula unit
1.0
4.9011 0.0000 0.0000
0.0000 4.9011 0.0000
0.0000 0.0000 4.9011
Rb Cr Cl
1 1 3
Cartesian
0.0000 0.0000 0.0000 Rb
2.4506 2.4506 2.4506 Cr
0.0000 2.4506 2.4506 Cl
2.4506 0.0000 2.4506 Cl
2.4506 2.4506 0.0000 Cl

---

Entry 17:
MnBr3O (meta-GGA SCAN, PBEsol geometry); ΔE_f (raw) = 1.48 eV per formula unit
1.0
4.6761 0.0000 0.0000
0.0000 4.6761 0.0000
0.0000 0.0000 4.6761
Mn Br O
1 3 1
Cartesian
0.0000 0.0000 0.0000 Mn
0.0000 2.3381 2.3381 Br
2.3381 0.0000 2.3381 Br
2.3381 2.3381 0.0000 Br
2.3381 2.3381 2.3381 O

---

Entry 18:
FeIrBr2 (meta-GGA SCAN, PBEsol geometry); ΔE_f (raw) = 0.80 eV per formula unit; energy above the lowest structure with this stoichiometry = 202 meV per atom
1.0
3.4312 0.0000 0.0000
0.0000 3.4683 0.0000
-0.6719 0.0000 7.0432
Fe Ir Br
1 1 2
Cartesian
0.0000 0.0000 0.0000 Fe
1.6644 1.7342 0.7664 Ir
0.3241 1.7342 5.4077 Br
2.1461 0.0000 2.5325 Br

---

Entry 19:
LiSnSN2 (meta-GGA SCAN, PBEsol geometry); ΔE_f (raw) = 3.66 eV per formula unit
1.0
4.1390 0.0000 0.0000
0.0000 4.1390 0.0000
0.0000 0.0000 5.1500
Li Sn S N
1 1 1 2
Cartesian
0.0000 0.0000 0.0000 Li
2.0695 2.0695 2.5750 Sn
2.0695 2.0695 0.0000 S
0.0000 2.0695 2.5750 N
2.0695 0.0000 2.5750 N

---

Entry 20:
Ga2BiRh2 (meta-GGA SCAN, PBEsol geometry); E_form = -0.3856 eV per atom
1.0
3.6696 0.0000 0.0000
0.0000 3.6696 0.0000
0.0000 0.0000 12.5601
Ga Bi Rh
4 2 4
Cartesian
0.0000 1.8348 3.1400 Ga
0.0000 1.8348 9.4201 Ga
1.8348 0.0000 3.1400 Ga
1.8348 0.0000 9.4201 Ga
0.0000 0.0000 0.0000 Bi
1.8348 1.8348 6.2801 Bi
0.0000 0.0000 4.8762 Rh
0.0000 0.0000 7.6839 Rh
1.8348 1.8348 1.4038 Rh
1.8348 1.8348 11.1563 Rh

---

Entry 21:
BaSiCl3 (meta-GGA SCAN, PBEsol geometry); ΔE_f (raw) = -5.77 eV per formula unit; energy above the lowest structure with this stoichiometry = 0 meV per atom
1.0
5.0993 0.0000 0.0000
0.0000 5.0993 0.0000
0.0000 0.0000 5.0993
Ba Si Cl
1 1 3
Cartesian
0.0000 0.0000 0.0000 Ba
2.5496 2.5496 2.5496 Si
0.0000 2.5496 2.5496 Cl
2.5496 0.0000 2.5496 Cl
2.5496 2.5496 0.0000 Cl

---

Entry 22:
SrBeGe2W (meta-GGA SCAN, PBEsol geometry); E_form = 0.0136 eV per atom
1.0
4.8321 0.0000 0.0000
0.0000 4.8321 0.0000
0.0000 0.0000 4.6028
Sr Be Ge W
1 1 2 1
Cartesian
0.0000 0.0000 0.0000 Sr
2.4161 2.4161 0.0000 Be
0.0000 2.4161 2.3014 Ge
2.4161 0.0000 2.3014 Ge
2.4161 2.4161 2.3014 W

---

Entry 23:
Sr2CrB (meta-GGA SCAN, PBEsol geometry); E_form = 0.3206 eV per atom
1.0
10.8671 0.0000 0.0000
0.0000 10.8671 0.0000
0.0000 0.0000 4.1382
Sr Cr B
8 4 4
Cartesian
0.7333 8.1503 0.5173 Sr
2.7168 0.7333 3.6209 Sr
2.7168 4.7003 1.5518 Sr
4.7003 8.1503 2.5864 Sr
6.1668 2.7168 2.5864 Sr
8.1503 6.1668 1.5518 Sr
8.1503 10.1338 3.6209 Sr
10.1338 2.7168 0.5173 Sr
0.0000 0.0000 2.0691 Cr
0.0000 5.4335 3.1036 Cr
5.4335 0.0000 1.0345 Cr
5.4335 5.4335 0.0000 Cr
0.0000 0.0000 0.0000 B
0.0000 5.4335 1.0345 B
5.4335 0.0000 3.1036 B
5.4335 5.4335 2.0691 B

---

Entry 24:
Sm12InCo6 (meta-GGA SCAN, PBEsol geometry); E_form = -0.1330 eV per atom
1.0
-4.8447 4.8447 4.8447
4.8447 -4.8447 4.8447
4.8447 4.8447 -4.8447
Sm In Co
12 1 6
Cartesian
4.8447 -1.8981 2.9714 Sm
2.9466 1.8733 0.0000 Sm
6.7428 1.8733 0.0000 Sm
2.9714 4.8447 -1.8981 Sm
1.8733 0.0000 2.9466 Sm
0.0000 2.9466 1.8733 Sm
4.8447 1.8981 2.9714 Sm
2.9714 4.8447 1.8981 Sm
1.8733 0.0000 6.7428 Sm
-1.8981 2.9714 4.8447 Sm
1.8981 2.9714 4.8447 Sm
0.0000 6.7428 1.8733 Sm
0.0000 0.0000 0.0000 In
4.8447 0.0000 1.0867 Co
4.8447 3.7580 0.0000 Co
1.0867 4.8447 0.0000 Co
3.7580 0.0000 4.8447 Co
0.0000 1.0867 4.8447 Co
0.0000 4.8447 3.7580 Co

---

Entry 25:
Nb2AlSi (meta-GGA SCAN, PBEsol geometry); ΔE_f (raw) = -0.19 eV per formula unit; energy above the lowest structure with this stoichiometry = 19 meV per atom
1.0
6.9766 0.0000 0.0000
0.0000 6.9766 0.0000
0.0000 0.0000 5.5687
Nb Al Si
8 4 4
Cartesian
1.6444 5.2324 0.6961 Nb
1.7441 1.6444 4.8726 Nb
1.7441 1.8439 2.0883 Nb
1.8439 5.2324 3.4804 Nb
5.1327 1.7441 3.4804 Nb
5.2324 5.1327 2.0883 Nb
5.2324 5.3322 4.8726 Nb
5.3322 1.7441 0.6961 Nb
0.0000 0.0000 2.7843 Al
0.0000 3.4883 4.1765 Al
3.4883 0.0000 1.3922 Al
3.4883 3.4883 0.0000 Al
0.0000 0.0000 0.0000 Si
0.0000 3.4883 1.3922 Si
3.4883 0.0000 4.1765 Si
3.4883 3.4883 2.7843 Si

---

The records above give, respectively, DOS(E_F) values of 0.524 0.520 0.807 1.216 0.753 0.730 0.248 0.722 1.145 0.435 0.206 0.032 0.707 0.879 0.789 0.162 0.295 0.811 0.144 0.334 0.483 0.371 0.835 0.686 0.507 states/eV/atom.